1.
GaNi2HPd: relaxed, GGA-PBE. Values from VASP.

Computed properties:
DOS at the Fermi energy in states/eV per cell: 1.51
Uncorrected energy in eV per atom: -4.94
Space group: No. 123
Spin magnetization in μB/atom: 0.0000

```
&SYSTEM
  ibrav = 0, nat = 5, ntyp = 4
/
ATOMIC_SPECIES
Ga 69.72 Ga.upf
Ni 58.69 Ni.upf
H 1.01 H.upf
Pd 106.42 Pd.upf
CELL_PARAMETERS angstrom
3.7041 0.0000 0.0000
0.0000 3.7041 0.0000
0.0000 0.0000 3.8883
ATOMIC_POSITIONS crystal
Ga 0.0000 0.0000 0.0000
Ni 0.0000 0.5000 0.5000
Ni 0.5000 0.0000 0.5000
H 0.5000 0.5000 0.5000
Pd 0.5000 0.5000 0.0000
```

---

2.
HRh8: relaxed, GGA-PBE. Values from VASP.

Computed properties:
DOS at the Fermi energy in states/eV per cell: 16.22
Uncorrected energy in eV per atom: -6.84
Space group: No. 164
Spin magnetization in μB/atom: 0.0002

```
&SYSTEM
  ibrav = 0, nat = 9, ntyp = 2
/
ATOMIC_SPECIES
H 1.01 H.upf
Rh 102.91 Rh.upf
CELL_PARAMETERS angstrom
5.4864 0.0000 0.0000
-2.7432 4.7514 0.0000
0.0000 0.0000 4.4626
ATOMIC_POSITIONS crystal
H 0.0000 0.0000 0.0000
Rh 0.1694 0.3389 0.7456
Rh 0.1694 0.8306 0.7456
Rh 0.3333 0.6667 0.2484
Rh 0.3389 0.1694 0.2544
Rh 0.6611 0.8306 0.7456
Rh 0.6667 0.3333 0.7516
Rh 0.8306 0.1694 0.2544
Rh 0.8306 0.6611 0.2544
```

---

3.
CeNd3Hg2: relaxed, GGA-PBE. Values from VASP.

Computed properties:
DOS at the Fermi energy in states/eV per cell: 27.44
Uncorrected energy in eV per atom: -3.49
Space group: No. 72
ΔH_f (0 K) in meV/atom: -15
Spin magnetization in μB/atom: 0.2721

```
&SYSTEM
  ibrav = 0, nat = 12, ntyp = 3
/
ATOMIC_SPECIES
Ce 140.12 Ce.upf
Nd 144.24 Nd.upf
Hg 200.59 Hg.upf
CELL_PARAMETERS angstrom
-3.9731 7.0796 3.7288
3.9731 -7.0796 3.7288
3.9731 7.0796 -3.7288
ATOMIC_POSITIONS crystal
Ce 0.0000 0.0000 0.0000
Ce 0.5000 0.5000 0.0000
Nd 0.0249 0.2500 0.7749
Nd 0.2500 0.7500 0.5000
Nd 0.4751 0.2500 0.2251
Nd 0.5249 0.7500 0.7749
Nd 0.7500 0.2500 0.5000
Nd 0.9751 0.7500 0.2251
Hg 0.1400 0.7053 0.8453
Hg 0.3600 0.2053 0.5652
Hg 0.6400 0.7947 0.4348
Hg 0.8600 0.2947 0.1547
```

---

4.
RbLiAl2H: relaxed, GGA-PBE. Values from VASP.

Computed properties:
DOS at the Fermi energy in states/eV per cell: 2.60
Uncorrected energy in eV per atom: -2.10
Space group: No. 123
Spin magnetization in μB/atom: 0.0000

```
&SYSTEM
  ibrav = 0, nat = 5, ntyp = 4
/
ATOMIC_SPECIES
Rb 85.47 Rb.upf
Li 6.94 Li.upf
Al 26.98 Al.upf
H 1.01 H.upf
CELL_PARAMETERS angstrom
4.8816 0.0000 0.0000
0.0000 4.8816 0.0000
0.0000 0.0000 5.3255
ATOMIC_POSITIONS crystal
Rb 0.0000 0.0000 0.0000
Li 0.5000 0.5000 0.5000
Al 0.0000 0.5000 0.5000
Al 0.5000 0.0000 0.5000
H 0.5000 0.5000 0.0000
```

---

5.
SbIrBrF2: relaxed, GGA-PBE. Values from VASP.

Computed properties:
DOS at the Fermi energy in states/eV per cell: 4.10
Formation energy from raw total energies in eV per atom: -0.14
Uncorrected energy in eV per atom: -3.82
Space group: No. 123
Spin magnetization in μB/atom: 0.1824

```
&SYSTEM
  ibrav = 0, nat = 5, ntyp = 4
/
ATOMIC_SPECIES
Sb 121.76 Sb.upf
Ir 192.22 Ir.upf
Br 79.90 Br.upf
F 19.00 F.upf
CELL_PARAMETERS angstrom
4.2806 0.0000 0.0000
0.0000 4.2806 0.0000
0.0000 0.0000 5.2068
ATOMIC_POSITIONS crystal
Sb 0.0000 0.0000 0.0000
Ir 0.5000 0.5000 0.5000
Br 0.5000 0.5000 0.0000
F 0.0000 0.5000 0.5000
F 0.5000 0.0000 0.5000
```

---

6.
CuNi6H4: relaxed, GGA-PBE. Values from VASP.

Computed properties:
DOS at the Fermi energy in states/eV per cell: 24.50
Uncorrected energy in eV per atom: -4.71
Space group: No. 63
Spin magnetization in μB/atom: 0.0406

```
&SYSTEM
  ibrav = 0, nat = 22, ntyp = 3
/
ATOMIC_SPECIES
Cu 63.55 Cu.upf
Ni 58.69 Ni.upf
H 1.01 H.upf
CELL_PARAMETERS angstrom
1.2927 -4.5340 0.0000
1.2927 4.5340 0.0000
0.0000 0.0000 14.8351
ATOMIC_POSITIONS crystal
Cu 0.1851 0.8149 0.7500
Cu 0.8149 0.1851 0.2500
Ni 0.0000 0.0000 0.0000
Ni 0.0000 0.0000 0.5000
Ni 0.0930 0.9070 0.2500
Ni 0.2769 0.7231 0.5814
Ni 0.2769 0.7231 0.9186
Ni 0.4519 0.5481 0.1390
Ni 0.4519 0.5481 0.3610
Ni 0.5481 0.4519 0.6390
Ni 0.5481 0.4519 0.8610
Ni 0.7231 0.2769 0.0814
Ni 0.7231 0.2769 0.4186
Ni 0.9070 0.0930 0.7500
H 0.0858 0.9142 0.1137
H 0.0858 0.9142 0.3863
H 0.3500 0.6500 0.0398
H 0.3500 0.6500 0.4602
H 0.6500 0.3500 0.5398
H 0.6500 0.3500 0.9602
H 0.9142 0.0858 0.6137
H 0.9142 0.0858 0.8863
```

---

7.
AcPr3YEr: relaxed, GGA-PBE. Values from VASP.

Computed properties:
DOS at the Fermi energy in states/eV per cell: 20.32
Uncorrected energy in eV per atom: -4.87
Space group: No. 11
ΔH_f (0 K) in meV/atom: 38
Spin magnetization in μB/atom: 0.0000

```
&SYSTEM
  ibrav = 0, nat = 12, ntyp = 4
/
ATOMIC_SPECIES
Ac 227.00 Ac.upf
Pr 140.91 Pr.upf
Y 88.91 Y.upf
Er 167.26 Er.upf
CELL_PARAMETERS angstrom
8.2464 0.0000 0.0000
0.0000 5.2664 0.0000
-3.3702 0.0000 9.9574
ATOMIC_POSITIONS crystal
Ac 0.1728 0.2500 0.2938
Ac 0.8272 0.7500 0.7062
Pr 0.1724 0.7500 0.0404
Pr 0.1730 0.2500 0.7923
Pr 0.1737 0.7500 0.5462
Pr 0.8263 0.2500 0.4538
Pr 0.8270 0.7500 0.2077
Pr 0.8276 0.2500 0.9596
Y 0.4969 0.7500 0.8764
Y 0.5031 0.2500 0.1236
Er 0.4979 0.2500 0.6275
Er 0.5021 0.7500 0.3725
```

---

8.
Ag2HgPd5: relaxed, GGA-PBE. Values from VASP.

Computed properties:
DOS at the Fermi energy in states/eV per cell: 9.27
Uncorrected energy in eV per atom: -4.06
Space group: No. 139
ΔH_f (0 K) in meV/atom: -63
Spin magnetization in μB/atom: 0.0000

```
&SYSTEM
  ibrav = 0, nat = 8, ntyp = 3
/
ATOMIC_SPECIES
Ag 107.87 Ag.upf
Hg 200.59 Hg.upf
Pd 106.42 Pd.upf
CELL_PARAMETERS angstrom
-2.0115 2.0115 8.2100
2.0115 -2.0115 8.2100
2.0115 2.0115 -8.2100
ATOMIC_POSITIONS crystal
Ag 0.2493 0.2493 0.0000
Ag 0.7507 0.7507 0.0000
Hg 0.0000 0.0000 0.0000
Pd 0.1251 0.6251 0.5000
Pd 0.3749 0.8749 0.5000
Pd 0.5000 0.5000 0.0000
Pd 0.6251 0.1251 0.5000
Pd 0.8749 0.3749 0.5000
```

---

9.
LiCu3Te: relaxed, GGA-PBE. Values from VASP.

Computed properties:
DOS at the Fermi energy in states/eV per cell: 1.39
Formation energy from raw total energies in eV per atom: 0.53
Uncorrected energy in eV per atom: -2.94
Space group: No. 221
Spin magnetization in μB/atom: 0.0000

```
&SYSTEM
  ibrav = 0, nat = 5, ntyp = 3
/
ATOMIC_SPECIES
Li 6.94 Li.upf
Cu 63.55 Cu.upf
Te 127.60 Te.upf
CELL_PARAMETERS angstrom
4.3172 0.0000 0.0000
0.0000 4.3172 0.0000
0.0000 0.0000 4.3172
ATOMIC_POSITIONS crystal
Li 0.0000 0.0000 0.0000
Cu 0.0000 0.0000 0.5000
Cu 0.0000 0.5000 0.0000
Cu 0.5000 0.0000 0.0000
Te 0.5000 0.5000 0.5000
```

---

10.
LaSe2SBr: relaxed, GGA-PBE. Values from VASP.

Computed properties:
DOS at the Fermi energy in states/eV per cell: 5.26
Formation energy from raw total energies in eV per atom: -0.59
Uncorrected energy in eV per atom: -4.12
Space group: No. 123
Spin magnetization in μB/atom: 0.0613

```
&SYSTEM
  ibrav = 0, nat = 5, ntyp = 4
/
ATOMIC_SPECIES
La 138.91 La.upf
Se 78.96 Se.upf
S 32.06 S.upf
Br 79.90 Br.upf
CELL_PARAMETERS angstrom
4.9831 0.0000 0.0000
0.0000 4.9831 0.0000
0.0000 0.0000 5.1054
ATOMIC_POSITIONS crystal
La 0.0000 0.0000 0.0000
Se 0.0000 0.5000 0.5000
Se 0.5000 0.0000 0.5000
S 0.5000 0.5000 0.5000
Br 0.5000 0.5000 0.0000
```

---

11.
NaErSn3: relaxed, GGA-PBE. Values from VASP.

Computed properties:
DOS at the Fermi energy in states/eV per cell: 8.89
Uncorrected energy in eV per atom: -3.91
Space group: No. 57
ΔH_f (0 K) in meV/atom: -329
Spin magnetization in μB/atom: 0.0000

```
&SYSTEM
  ibrav = 0, nat = 20, ntyp = 3
/
ATOMIC_SPECIES
Na 22.99 Na.upf
Er 167.26 Er.upf
Sn 118.71 Sn.upf
CELL_PARAMETERS angstrom
13.7795 0.0000 0.0000
0.0000 6.2073 0.0000
0.0000 0.0000 6.2744
ATOMIC_POSITIONS crystal
Na 0.0985 0.2500 0.0000
Na 0.0985 0.2500 0.5000
Na 0.9015 0.7500 0.0000
Na 0.9015 0.7500 0.5000
Er 0.3219 0.0044 0.2500
Er 0.3219 0.4956 0.7500
Er 0.6781 0.5044 0.2500
Er 0.6781 0.9956 0.7500
Sn 0.1147 0.7181 0.7500
Sn 0.1147 0.7819 0.2500
Sn 0.2889 0.0056 0.7500
Sn 0.2889 0.4944 0.2500
Sn 0.4948 0.7500 0.0000
Sn 0.4948 0.7500 0.5000
Sn 0.5052 0.2500 0.0000
Sn 0.5052 0.2500 0.5000
Sn 0.7111 0.5056 0.7500
Sn 0.7111 0.9944 0.2500
Sn 0.8853 0.2181 0.7500
Sn 0.8853 0.2819 0.2500
```

---

12.
Na2Pu2Br2Cl5: relaxed, GGA-PBE. Values from VASP.

Computed properties:
DOS at the Fermi energy in states/eV per cell: 29.70
Formation energy from raw total energies in eV per atom: -1.70
Uncorrected energy in eV per atom: -5.69
Space group: No. 139
Spin magnetization in μB/atom: 1.0000

```
&SYSTEM
  ibrav = 0, nat = 11, ntyp = 4
/
ATOMIC_SPECIES
Na 22.99 Na.upf
Pu 244.00 Pu.upf
Br 79.90 Br.upf
Cl 35.45 Cl.upf
CELL_PARAMETERS angstrom
-2.7661 2.7661 13.0030
2.7661 -2.7661 13.0030
2.7661 2.7661 -13.0030
ATOMIC_POSITIONS crystal
Na 0.1760 0.1760 0.0000
Na 0.8240 0.8240 0.0000
Pu 0.3946 0.3946 0.0000
Pu 0.6054 0.6054 0.0000
Br 0.2841 0.2841 0.0000
Br 0.7159 0.7159 0.0000
Cl 0.1160 0.6160 0.5000
Cl 0.3840 0.8840 0.5000
Cl 0.5000 0.5000 0.0000
Cl 0.6160 0.1160 0.5000
Cl 0.8840 0.3840 0.5000
```

---

Question: spin magnetization of number 9 (LiCu3Te)?
Answer: 0.0000 μB/atom

---

Question: Number 1 is which compound?
Answer: GaNi2HPd

---

Question: The lowest DOS at the Fermi energy belongs to which entry?
Answer: LiCu3Te